Entry from Alexandria via LeMat-Bulk: a geometry-optimized CrIn2PbO6 structure (PBE with a Hubbard U).

VASP energy in eV per atom: -6.08
Space group: R3, No. 146
Crystal system: trigonal
M_tot in μB/f.u.: 2.12

abc: 5.891 5.891 5.891
angles: 56.50 56.50 56.50
Positions (direct):
Cr: 0.000 0.000 0.000
In: 0.209 0.209 0.209
In: 0.694 0.694 0.694
Pb: 0.478 0.478 0.478
O: 0.063 0.379 0.833
O: 0.272 0.912 0.621
O: 0.379 0.833 0.063
O: 0.621 0.272 0.912
O: 0.833 0.063 0.379
O: 0.912 0.621 0.272